[1]
Rb3Pu2PdO9 | GGA-PBE | relaxed

Cell lengths 5.994, 5.994, 7.368 Å; angles 90.00, 90.00, 120.00 degrees
Atoms (fractional coordinates):
O  0.345  0.173  0.675
Pu  0.333  0.667  0.172
O  0.173  0.827  0.325
Rb  0.000  0.000  0.000
O  0.000  0.500  0.000
Rb  0.333  0.667  0.659
O  0.827  0.173  0.675
O  0.500  0.500  0.000
Rb  0.667  0.333  0.341
Pu  0.667  0.333  0.828
O  0.655  0.827  0.325
O  0.500  0.000  0.000
O  0.827  0.655  0.675
O  0.173  0.345  0.325
Pd  0.000  0.000  0.500

## Properties
Space-group type ... P-3m1 (164)
Magnetization ... 5.033 μB/cell
Mass density ... 7.21 g cm⁻³
Formation energy (no corrections) ... -1.95 eV per atom

---

[2]
Dy2Zn3Cu | GGA-PBE | relaxed

Cell lengths 3.513, 4.398, 7.692 Å; angles 90.00, 90.00, 90.00 degrees
Atoms (fractional coordinates):
Zn  0.500  0.000  0.832
Dy  0.000  0.500  0.009
Zn  0.500  0.500  0.665
Zn  0.500  0.000  0.166
Dy  0.000  0.000  0.493
Cu  0.500  0.500  0.335

## Properties
Space-group type ... Pmm2 (25)
Magnetization ... 0.000 μB/cell
Mass density ... 8.17 g cm⁻³
ΔH_f (0 K) ... -0.342 eV per atom

---

[3]
Zn2Cu2S | GGA-PBE | relaxed

Cell lengths 6.459, 6.459, 3.648 Å; angles 90.00, 90.00, 90.00 degrees
Atoms (fractional coordinates):
S  0.500  0.500  0.000
Cu  0.138  0.638  0.500
Zn  0.853  0.647  0.000
Cu  0.862  0.362  0.500
Zn  0.647  0.147  0.000
Zn  0.353  0.853  0.000
Cu  0.638  0.862  0.500
S  0.000  0.000  0.000
Zn  0.147  0.353  0.000
Cu  0.362  0.138  0.500

## Properties
Space-group type ... P4/mbm (127)
Polymorph energy (0 for the lowest one) ... 95 meV/atom
Magnetization ... 0.000 μB/cell
Mass density ... 6.33 g cm⁻³
Formation energy (no corrections) ... 0.18 eV per atom